SmTmGaCu: optimized geometry, GGA-PBE.

a = 5.0233 Å, b = 5.0233 Å, c = 5.0233 Å
α = 60.00°, β = 60.00°, γ = 60.00°
Last column: nearest neighbours and their distance in Å.
Fractional coordinates of all 4 atoms:
Sm 0.0000 0.0000 0.0000  4 Ga 3.08, 4 Cu 3.08
Tm 0.5000 0.5000 0.5000  4 Cu 3.08, 4 Ga 3.08
Ga 0.2500 0.2500 0.2500  4 Tm 3.08, 4 Sm 3.08
Cu 0.7500 0.7500 0.7500  4 Sm 3.08, 4 Tm 3.08

Calculated values
**Symmetry**: F-43m
**M_tot**: 0.000 μB/f.u.
**Formation enthalpy at 0 K**: -38.1 kJ/mol of atoms
**E_tot**: -4.4737 eV per atom
**DOS(E_F)**: 3.344 states/eV/f.u.